The following is a DFT calculation (PBE) of RbZrTe2I after structural relaxation.

The structure in CIF format:
```
data_RbZrTe2I
_chemical_formula_sum 'Rb1 Zr1 Te2 I1'
_space_group_name_H-M_alt 'P 4/m m m'
_space_group_IT_number 123
_space_group_name_Hall '-P 4 2'
_cell_length_a 5.673
_cell_length_b 5.673
_cell_length_c 6.002
_cell_angle_alpha 90.00
_cell_angle_beta 90.00
_cell_angle_gamma 90.00
loop_
_atom_site_label
_atom_site_fract_x
_atom_site_fract_y
_atom_site_fract_z
Rb1 0.000 0.000 0.000
Zr1 0.500 0.500 0.500
Te1 0.000 0.500 0.500
I1 0.500 0.500 0.000
```

Summary:
magnetic moment	0.00	μB/cell
energy above the most stable polymorph in this dataset	0.00	eV/f.u.
E_form (uncorrected)	-0.87	eV/atom
DOS at the Fermi energy	0.40	states/eV/atom